Entry 1:
The following is a DFT calculation (PBE) of a relaxed structure of Np2AsPt.

Results
The energy above the most stable polymorph in this dataset is 62 meV per atom. The calculated volume comes out at 84.8 Å³ per cell. As for the energy: -38.222 eV per cell. The crystal system is tetragonal. Its formation energy is -39.8 kJ/mol of atoms. The calculation puts the mass density at 14.56 g/cm³.

Structure (CIF):
```
data_Np2AsPt
_cell_length_a 2.936
_cell_length_b 5.375
_cell_length_c 5.375
_cell_angle_alpha 90.00
_cell_angle_beta 90.00
_cell_angle_gamma 90.00
_space_group_name_H-M_alt 'P 1'
_space_group_IT_number 1
loop_
_space_group_symop_operation_xyz
'x,y,z'
loop_
_atom_site_label
_atom_site_fract_x
_atom_site_fract_y
_atom_site_fract_z
_atom_site_occupancy
Np1 0.000 0.000 0.500 1
Np2 0.000 0.500 0.000 1
As1 0.500 0.500 0.500 1
Pt1 0.500 0.000 0.000 1
```

***

Entry 2:
The following is a DFT calculation (PBE) of a relaxed structure of ReTc2HIr.

Results
The energy above the most stable polymorph in this dataset is 0 meV per atom. The calculated volume comes out at 60.4 Å³ per cell. As for the energy: -45.517 eV per cell. The crystal system is tetragonal. The calculation puts the mass density at 15.82 g/cm³.

Structure (CIF):
```
data_ReTc2HIr
_cell_length_a 3.915
_cell_length_b 3.915
_cell_length_c 3.940
_cell_angle_alpha 90.00
_cell_angle_beta 90.00
_cell_angle_gamma 90.00
_space_group_name_H-M_alt 'P 1'
_space_group_IT_number 1
loop_
_space_group_symop_operation_xyz
'x,y,z'
loop_
_atom_site_label
_atom_site_fract_x
_atom_site_fract_y
_atom_site_fract_z
_atom_site_occupancy
Re1 0.000 0.000 0.500 1
Ir1 0.500 0.500 0.500 1
Tc1 0.000 0.500 0.000 1
Tc2 0.500 0.000 0.000 1
H1 0.000 0.000 0.000 1
```

***

Entry 3:
The following is a DFT calculation (PBE) of a relaxed structure of PaHgPtRh.

Results
The calculated volume comes out at 78.5 Å³ per cell. As for the energy: -25.431 eV per cell. The crystal system is cubic. Its formation energy is -54.1 kJ/mol of atoms. The calculation puts the mass density at 15.44 g/cm³.

Structure (CIF):
```
data_PaHgPtRh
_cell_length_a 4.806
_cell_length_b 4.806
_cell_length_c 4.806
_cell_angle_alpha 60.00
_cell_angle_beta 60.00
_cell_angle_gamma 60.00
_space_group_name_H-M_alt 'P 1'
_space_group_IT_number 1
loop_
_space_group_symop_operation_xyz
'x,y,z'
loop_
_atom_site_label
_atom_site_fract_x
_atom_site_fract_y
_atom_site_fract_z
_atom_site_occupancy
Pa1 0.000 0.000 0.000 1
Rh1 0.750 0.750 0.750 1
Hg1 0.500 0.500 0.500 1
Pt1 0.250 0.250 0.250 1
```

***

Entry 4:
The following is a DFT calculation (PBE) of a relaxed structure of LaZn2H6.

Results
The calculated volume comes out at 96.9 Å³ per cell. As for the energy: -28.722 eV per cell. The crystal system is monoclinic. The calculation puts the mass density at 4.73 g/cm³.

Structure (CIF):
```
data_LaZn2H6
_cell_length_a 4.181
_cell_length_b 6.050
_cell_length_c 4.352
_cell_angle_alpha 109.00
_cell_angle_beta 90.00
_cell_angle_gamma 110.22
_space_group_name_H-M_alt 'P 1'
_space_group_IT_number 1
loop_
_space_group_symop_operation_xyz
'x,y,z'
loop_
_atom_site_label
_atom_site_fract_x
_atom_site_fract_y
_atom_site_fract_z
_atom_site_occupancy
La1 0.000 0.000 0.500 1
Zn1 0.747 0.494 0.711 1
Zn2 0.253 0.506 0.289 1
H1 0.898 0.797 0.918 1
H2 0.773 0.545 0.326 1
H3 0.227 0.455 0.674 1
H4 0.604 0.207 0.728 1
H5 0.396 0.793 0.272 1
H6 0.102 0.203 0.082 1
```

***

Entry 5:
The following is a DFT calculation (PBE) of a relaxed structure of HoLuCuRh.

Results
The calculated volume comes out at 79.2 Å³ per cell. As for the energy: -23.008 eV per cell. The crystal system is cubic. Its formation energy is -59.4 kJ/mol of atoms. The calculation puts the mass density at 10.61 g/cm³.

Structure (CIF):
```
data_HoLuCuRh
_cell_length_a 4.821
_cell_length_b 4.821
_cell_length_c 4.821
_cell_angle_alpha 60.00
_cell_angle_beta 60.00
_cell_angle_gamma 60.00
_space_group_name_H-M_alt 'P 1'
_space_group_IT_number 1
loop_
_space_group_symop_operation_xyz
'x,y,z'
loop_
_atom_site_label
_atom_site_fract_x
_atom_site_fract_y
_atom_site_fract_z
_atom_site_occupancy
Lu1 0.500 0.500 0.500 1
Rh1 0.750 0.750 0.750 1
Ho1 0.000 0.000 0.000 1
Cu1 0.250 0.250 0.250 1
```

***

Entry 6:
The following is a DFT calculation (PBE) of a relaxed structure of LiYEr2.

Results
The energy above the most stable polymorph in this dataset is 0 meV per atom. The calculated volume comes out at 112.6 Å³ per cell. As for the energy: -17.212 eV per cell. The crystal system is tetragonal. Its formation energy is 7.0 kJ/mol of atoms. The calculation puts the mass density at 6.35 g/cm³.

Structure (CIF):
```
data_LiYEr2
_cell_length_a 3.584
_cell_length_b 3.584
_cell_length_c 8.765
_cell_angle_alpha 90.00
_cell_angle_beta 90.00
_cell_angle_gamma 90.00
_space_group_name_H-M_alt 'P 1'
_space_group_IT_number 1
loop_
_space_group_symop_operation_xyz
'x,y,z'
loop_
_atom_site_label
_atom_site_fract_x
_atom_site_fract_y
_atom_site_fract_z
_atom_site_occupancy
Y1 0.500 0.500 0.500 1
Li1 0.500 0.500 0.000 1
Er1 0.000 0.000 0.781 1
Er2 0.000 0.000 0.219 1
```